{"formula": "NiPO2F", "functional": "PBE with a Hubbard U", "state": "relaxed", "final_energy_ev_per_fu": -15.07, "magnetic_moment_mub_per_fu": 2.22, "cell": [[4.383, 0.000, 0.000], [0.000, 4.383, 0.000], [0.000, 0.000, 3.344]], "species": ["Ni", "P", "O", "O", "F"], "fractional_positions": [[0.000, 0.000, 0.000], [0.500, 0.500, 0.000], [0.000, 0.500, 0.500], [0.500, 0.000, 0.500], [0.500, 0.500, 0.500]]}